# TbAgSnTe2Se

A relaxed structure of TbAgSnTe2Se (GGA-PBE, OQMD).

The total energy is -25.672 eV/f.u.

The structure belongs to space group Cmcm (No. 63); the cell edges are 4.2973, 14.6044 and 10.5736 Å and the angles 90.00°, 90.00° and 90.00°. The inequivalent atoms are Tb at (0.0000, 0.0000, 0.0000), Ag at (0.0000, 0.4779, 0.2500), Sn at (0.0000, 0.2557, 0.7500), Te at (0.0000, 0.3491, 0.0550) and Se at (0.0000, 0.0876, 0.2500).